Th2VRu PBE relaxed; SG = R-3m, No. 166; DFT formation energy = 606.5 meV per atom; total magnetization = 2.20 μB/f.u.
1.0
-1.4802 2.7063 -1.5124
0.4382 0.5401 -3.3644
-8.2204 -4.2780 -3.5114
V Ru Th
1 1 2
Cartesian
0.0000 0.0000 0.0000 V
-4.6312 -0.5158 -4.1941 Ru
-6.0001 -2.7664 -2.9796 Th
-3.2623 1.7348 -5.4086 Th